# Mn3O4F2, optimized geometry, DFT GGA+U
# Uncorrected energy   -6.809 eV per atom
# Total magnetization   11.000 μB/f.u.
# Energy above the lowest structure with this stoichiometry   44 meV/atom
data_Mn3O4F2
_cell_length_a 6.537
_cell_length_b 19.494
_cell_length_c 3.085
_cell_angle_alpha 90.00
_cell_angle_beta 90.00
_cell_angle_gamma 90.00
_symmetry_space_group_name_H-M 'C m m m'
_symmetry_Int_Tables_number 65
_symmetry_space_group_name_Hall '-C 2 2'
loop_
_atom_site_label
_atom_site_fract_x
_atom_site_fract_y
_atom_site_fract_z
Mn1 0.000 0.000 0.000
Mn2 0.000 0.160 0.500
Mn3 0.000 0.340 0.000
Mn4 0.000 0.500 0.500
O1 0.000 0.063 0.500
O2 0.000 0.401 0.500
O3 0.193 0.166 0.000
F1 0.000 0.267 0.500
F2 0.192 0.500 0.000